--- i ---
DFT (PBE-GGA) results for crystalline CsY3Ge at its relaxed geometry.

ρ (Mg/m³): 4.19
Magnetization (μB per cell): 0.00
N(E_F) (states/eV/f.u.): 7.85

a = 5.718 Å, b = 5.718 Å, c = 5.718 Å
α = 90.00°, β = 90.00°, γ = 90.00°
Atoms (fractional coordinates):
Ge: 0.000 0.000 0.000
Y: 0.500 0.000 0.000
Y: 0.000 0.500 0.000
Y: 0.000 0.000 0.500
Cs: 0.500 0.500 0.500

***

--- ii ---
DFT (PBE-GGA) results for crystalline CsY3Ge at its relaxed geometry.

ρ (Mg/m³): 4.54
Magnetization (μB per cell): 0.00
N(E_F) (states/eV/f.u.): 5.38

a = 5.571 Å, b = 5.571 Å, c = 5.571 Å
α = 90.00°, β = 90.00°, γ = 90.00°
Atoms (fractional coordinates):
Y: 0.500 0.000 0.000
Ge: 0.500 0.500 0.500
Cs: 0.000 0.000 0.000
Y: 0.000 0.000 0.500
Y: 0.000 0.500 0.000

***

Which of them is the least stable? Correct choice: ii.

***

--- i ---
DFT (PBE-GGA) results for crystalline CsYGe2 at its relaxed geometry.

ρ (Mg/m³): 5.24
Magnetization (μB per cell): 0.00
N(E_F) (states/eV/f.u.): 2.67

a = 5.479 Å, b = 5.479 Å, c = 5.479 Å
α = 60.00°, β = 60.00°, γ = 60.00°
Atoms (fractional coordinates):
Ge: 0.250 0.250 0.250
Cs: 0.500 0.500 0.500
Y: 0.000 0.000 0.000
Ge: 0.750 0.750 0.750

***

--- ii ---
DFT (PBE-GGA) results for crystalline CsYGe2 at its relaxed geometry.

ρ (Mg/m³): 3.70
Magnetization (μB per cell): 0.00
N(E_F) (states/eV/f.u.): 3.29

a = 5.799 Å, b = 5.799 Å, c = 10.613 Å
α = 74.15°, β = 74.15°, γ = 90.00°
Atoms (fractional coordinates):
Cs: 0.750 0.250 0.500
Ge: 0.375 0.598 0.750
Cs: 0.000 0.000 0.000
Y: 0.250 0.750 0.500
Y: 0.500 0.500 0.000
Ge: 0.875 0.652 0.750
Ge: 0.402 0.125 0.250
Ge: 0.348 0.625 0.250

***

Which of them is the least stable? Correct choice: i.

***

--- i ---
DFT (PBE-GGA) results for crystalline CsZn3Ge at its relaxed geometry.

ρ (Mg/m³): 4.44
Magnetization (μB per cell): 0.00
N(E_F) (states/eV/f.u.): 7.10

a = 5.316 Å, b = 5.316 Å, c = 5.316 Å
α = 90.00°, β = 90.00°, γ = 90.00°
Atoms (fractional coordinates):
Zn: 0.000 0.500 0.000
Zn: 0.000 0.000 0.500
Cs: 0.500 0.500 0.500
Ge: 0.000 0.000 0.000
Zn: 0.500 0.000 0.000

***

--- ii ---
DFT (PBE-GGA) results for crystalline CsZn3Ge at its relaxed geometry.

ρ (Mg/m³): 2.08
Magnetization (μB per cell): 3.00
N(E_F) (states/eV/f.u.): 0.31

a = 6.841 Å, b = 6.841 Å, c = 6.841 Å
α = 90.00°, β = 90.00°, γ = 90.00°
Last column: magnetic moment on the atom in μB.
Atoms (fractional coordinates):
Cs: 0.000 0.000 0.000  0.01
Zn: 0.500 0.000 0.000  0.03
Zn: 0.000 0.500 0.000  0.03
Ge: 0.500 0.500 0.500  0.81
Zn: 0.000 0.000 0.500  0.03

***

Which of them is the least stable? Correct choice: ii.